VASP calculation (GGA+U) on Ba2Y2MgFe4O10 after structural relaxation.

Results
* energy above the lowest structure with this stoichiometry: 0.181 eV per atom
* space-group type: Cm (8)

Geometry as CIF:
```
data_Ba2Y2MgFe4O10
_space_group_name_H-M_alt 'P 1'
_space_group_IT_number 1
_cell_length_a 9.624
_cell_length_b 9.624
_cell_length_c 7.608
_cell_angle_alpha 78.11
_cell_angle_beta 78.11
_cell_angle_gamma 23.84
loop_
_space_group_symop_operation_xyz
'x,y,z'
loop_
_atom_site_label
_atom_site_fract_x
_atom_site_fract_y
_atom_site_fract_z
_atom_site_occupancy
Ba1 0.845 0.845 0.584 1
Ba2 0.830 0.830 0.090 1
Y1 0.036 0.036 0.982 1
Y2 0.042 0.042 0.484 1
Mg1 0.206 0.206 0.890 1
Fe1 0.643 0.643 0.173 1
Fe2 0.443 0.443 0.787 1
Fe3 0.438 0.438 0.279 1
Fe4 0.644 0.644 0.670 1
O1 0.615 0.615 0.436 1
O2 0.464 0.464 0.529 1
O3 0.680 0.680 0.902 1
O4 0.486 0.486 0.003 1
O5 0.130 0.130 0.710 1
O6 0.976 0.976 0.269 1
O7 0.135 0.135 0.144 1
O8 0.961 0.961 0.775 1
O9 0.332 0.332 0.326 1
O10 0.314 0.314 0.849 1
```



VASP calculation (GGA+U) on Ba2Y2MgFe4O10 after structural relaxation.

Results
* energy above the lowest structure with this stoichiometry: 0.000 eV per atom
* space-group type: Pm (6)

Geometry as CIF:
```
data_Ba2Y2MgFe4O10
_space_group_name_H-M_alt 'P 1'
_space_group_IT_number 1
_cell_length_a 3.589
_cell_length_b 8.777
_cell_length_c 9.745
_cell_angle_alpha 100.86
_cell_angle_beta 90.00
_cell_angle_gamma 90.00
loop_
_space_group_symop_operation_xyz
'x,y,z'
loop_
_atom_site_label
_atom_site_fract_x
_atom_site_fract_y
_atom_site_fract_z
_atom_site_occupancy
Ba1 0.000 0.607 0.900 1
Ba2 0.000 0.079 0.931 1
Y1 0.000 0.996 0.488 1
Y2 0.000 0.495 0.524 1
Mg1 0.500 0.890 0.139 1
Fe1 0.500 0.671 0.283 1
Fe2 0.500 0.279 0.718 1
Fe3 0.500 0.808 0.687 1
Fe4 0.500 0.245 0.310 1
O1 0.500 0.493 0.371 1
O2 0.500 0.509 0.674 1
O3 0.500 0.906 0.355 1
O4 0.500 0.047 0.651 1
O5 0.000 0.235 0.425 1
O6 0.000 0.765 0.596 1
O7 0.000 0.734 0.162 1
O8 0.000 0.309 0.806 1
O9 0.500 0.831 0.910 1
O10 0.500 0.111 0.128 1
```